# PBE with a Hubbard U Li3Mn2Co2O8, relaxed
data_Li3Mn2Co2O8
_chemical_formula_sum 'Li3 Mn2 Co2 O8'
_cell_length_a 5.6853
_cell_length_b 5.7410
_cell_length_c 5.9523
_cell_angle_alpha 117.93
_cell_angle_beta 117.93
_cell_angle_gamma 90.30
_symmetry_space_group_name_H-M 'P 1'
_symmetry_Int_Tables_number 1
_symmetry_space_group_name_Hall 'P 1'
loop_
_atom_site_label
_atom_site_type_symbol
_atom_site_fract_x
_atom_site_fract_y
_atom_site_fract_z
_atom_site_occupancy
Li1 Li 0.0000 0.0000 0.0000 1
Li2 Li 0.0000 0.5000 0.5000 1
Li3 Li 0.5000 0.0000 0.0000 1
Mn1 Mn 0.5000 0.0000 0.5000 1
Mn2 Mn 0.5000 0.5000 0.0000 1
Co1 Co 0.0000 0.5000 0.0000 1
Co2 Co 0.5000 0.5000 0.5000 1
O1 O 0.2440 0.7259 0.9913 1
O2 O 0.2536 0.2827 0.0184 1
O3 O 0.2827 0.7452 0.5085 1
O4 O 0.2965 0.2822 0.5598 1
O5 O 0.7035 0.7178 0.4402 1
O6 O 0.7173 0.2548 0.4915 1
O7 O 0.7464 0.7173 0.9816 1
O8 O 0.7560 0.2741 0.0087 1
# relative energy among the computed polymorphs = 37 meV per atom
# total DFT energy (no corrections) = -92.5 eV/cell
# space group = P-1